[1]
# Tb2AlTe5, optimized geometry, DFT GGA-PBE
# M_tot: 0.00 μB/cell
# raw total energy: -4.430 eV per atom
# crystal system: orthorhombic
data_Tb2AlTe5
_cell_length_a 6.094
_cell_length_b 14.638
_cell_length_c 13.266
_cell_angle_alpha 90.00
_cell_angle_beta 90.00
_cell_angle_gamma 90.00
_symmetry_space_group_name_H-M 'C m c m'
_symmetry_Int_Tables_number 63
_symmetry_space_group_name_Hall '-C 2c 2'
loop_
_atom_site_label
_atom_site_type_symbol
_atom_site_fract_x
_atom_site_fract_y
_atom_site_fract_z
Tb1 Tb 0.000 0.167 0.070
Al1 Al 0.000 0.189 0.750
Te1 Te 0.000 0.037 0.614
Te2 Te 0.000 0.297 0.250
Te3 Te 0.000 0.315 0.596

[2]
# Tb5AlTe4, optimized geometry, DFT GGA-PBE
# M_tot: 0.00 μB/cell
# raw total energy: -5.096 eV per atom
# crystal system: tetragonal
data_Tb5AlTe4
_cell_length_a 9.780
_cell_length_b 9.780
_cell_length_c 6.156
_cell_angle_alpha 90.00
_cell_angle_beta 90.00
_cell_angle_gamma 90.00
_symmetry_space_group_name_H-M 'I 4/m'
_symmetry_Int_Tables_number 87
_symmetry_space_group_name_Hall '-I 4'
loop_
_atom_site_label
_atom_site_type_symbol
_atom_site_fract_x
_atom_site_fract_y
_atom_site_fract_z
Tb1 Tb 0.000 0.000 0.000
Tb2 Tb 0.096 0.284 0.500
Al1 Al 0.000 0.000 0.500
Te1 Te 0.094 0.304 0.000

[3]
# Tb2AlTe, optimized geometry, DFT GGA-PBE
# M_tot: 0.00 μB/cell
# raw total energy: -4.811 eV per atom
# crystal system: trigonal
# E above lowest polymorph: 0.134 eV per atom
data_Tb2AlTe
_cell_length_a 4.1022
_cell_length_b 4.1022
_cell_length_c 23.3958
_cell_angle_alpha 90.00
_cell_angle_beta 90.00
_cell_angle_gamma 120.00
_symmetry_space_group_name_H-M 'R -3 m'
_symmetry_Int_Tables_number 166
_symmetry_space_group_name_Hall '-R 3 2"'
loop_
_atom_site_label
_atom_site_type_symbol
_atom_site_fract_x
_atom_site_fract_y
_atom_site_fract_z
Tb1 Tb 0.0000 0.0000 0.2479
Al1 Al 0.0000 0.0000 0.5000
Te1 Te 0.0000 0.0000 0.0000

[4]
# TbAlTl2Te4, optimized geometry, DFT GGA-PBE
# M_tot: 0.00 μB/cell
# raw total energy: -3.836 eV per atom
# crystal system: orthorhombic
data_TbAlTl2Te4
_cell_length_a 8.878
_cell_length_b 9.174
_cell_length_c 12.859
_cell_angle_alpha 90.00
_cell_angle_beta 90.00
_cell_angle_gamma 90.00
_symmetry_space_group_name_H-M 'I m m a'
_symmetry_Int_Tables_number 74
_symmetry_space_group_name_Hall '-I 2b 2'
loop_
_atom_site_label
_atom_site_type_symbol
_atom_site_fract_x
_atom_site_fract_y
_atom_site_fract_z
Tb1 Tb 0.000 0.000 0.000
Al1 Al 0.250 0.250 0.250
Tl1 Tl 0.000 0.000 0.500
Tl2 Tl 0.250 0.250 0.750
Te1 Te 0.000 0.042 0.242
Te2 Te 0.233 0.250 0.022

[5]
# Tb3AlTl4Te8, optimized geometry, DFT GGA-PBE
# M_tot: 0.00 μB/cell
# raw total energy: -4.117 eV per atom
# crystal system: trigonal
data_Tb3AlTl4Te8
_cell_length_a 8.8211
_cell_length_b 8.8211
_cell_length_c 24.4364
_cell_angle_alpha 90.00
_cell_angle_beta 90.00
_cell_angle_gamma 120.00
_symmetry_space_group_name_H-M 'R -3 m'
_symmetry_Int_Tables_number 166
_symmetry_space_group_name_Hall '-R 3 2"'
loop_
_atom_site_label
_atom_site_type_symbol
_atom_site_fract_x
_atom_site_fract_y
_atom_site_fract_z
Tb1 Tb 0.0000 0.5000 0.0000
Al1 Al 0.0000 0.0000 0.0000
Tl1 Tl 0.0000 0.0000 0.5000
Tl2 Tl 0.0000 0.5000 0.5000
Te1 Te 0.0000 0.0000 0.2610
Te2 Te 0.0206 0.5103 0.7346

[6]
# Tb3ThAl8, optimized geometry, DFT GGA-PBE
# M_tot: 0.00 μB/cell
# raw total energy: -4.764 eV per atom
# crystal system: trigonal
# E above lowest polymorph: 0.000 eV per atom
data_Tb3ThAl8
_cell_length_a 5.6122
_cell_length_b 5.6122
_cell_length_c 27.4665
_cell_angle_alpha 90.00
_cell_angle_beta 90.00
_cell_angle_gamma 120.00
_symmetry_space_group_name_H-M 'R 3 m'
_symmetry_Int_Tables_number 160
_symmetry_space_group_name_Hall 'R 3 -2"'
loop_
_atom_site_label
_atom_site_type_symbol
_atom_site_fract_x
_atom_site_fract_y
_atom_site_fract_z
Tb1 Tb 0.0000 0.0000 0.0000
Tb2 Tb 0.0000 0.0000 0.1248
Tb3 Tb 0.0000 0.0000 0.6258
Th1 Th 0.0000 0.0000 0.5002
Al1 Al 0.0000 0.0000 0.3132
Al2 Al 0.0000 0.0000 0.8122
Al3 Al 0.9999 0.5000 0.0620
Al4 Al 0.0006 0.5003 0.5633

[7]
# Tb4ThAl5, optimized geometry, DFT GGA-PBE
# M_tot: 0.00 μB/cell
# raw total energy: -4.825 eV per atom
# crystal system: tetragonal
data_Tb4ThAl5
_cell_length_a 3.582
_cell_length_b 3.582
_cell_length_c 18.779
_cell_angle_alpha 90.00
_cell_angle_beta 90.00
_cell_angle_gamma 90.00
_symmetry_space_group_name_H-M 'P 4/m m m'
_symmetry_Int_Tables_number 123
_symmetry_space_group_name_Hall '-P 4 2'
loop_
_atom_site_label
_atom_site_type_symbol
_atom_site_fract_x
_atom_site_fract_y
_atom_site_fract_z
Tb1 Tb 0.000 0.000 0.097
Tb2 Tb 0.000 0.000 0.293
Th1 Th 0.000 0.000 0.500
Al1 Al 0.500 0.500 0.000
Al2 Al 0.500 0.500 0.195
Al3 Al 0.500 0.500 0.391

[8]
# Tb3ThAl2, optimized geometry, DFT GGA-PBE
# M_tot: 0.00 μB/cell
# raw total energy: -5.047 eV per atom
# crystal system: tetragonal
data_Tb3ThAl2
_cell_length_a 3.549
_cell_length_b 3.549
_cell_length_c 12.563
_cell_angle_alpha 90.00
_cell_angle_beta 90.00
_cell_angle_gamma 90.00
_symmetry_space_group_name_H-M 'P 4/m m m'
_symmetry_Int_Tables_number 123
_symmetry_space_group_name_Hall '-P 4 2'
loop_
_atom_site_label
_atom_site_type_symbol
_atom_site_fract_x
_atom_site_fract_y
_atom_site_fract_z
Tb1 Tb 0.000 0.000 0.000
Tb2 Tb 0.000 0.000 0.303
Th1 Th 0.500 0.500 0.500
Al1 Al 0.500 0.500 0.152